Density functional theory data (SCAN) for a crystal of BaAlNi relaxed with PBEsol.

Total magnetic moment, μB/f.u.: 0.00
Electronic total energy, eV per atom: -21.217
Space group: P-6m2

a b c (Å): 4.182 4.182 4.976
angles (deg): 90.00 90.00 120.00
Fractional positions:
Ba (0.000, 0.000, 0.000)
Al (0.667, 0.333, 0.500)
Ni (0.333, 0.667, 0.500)